No. 1
First-principles (GGA-PBEsol) data for crystalline MgGa3N at its relaxed geometry, as listed in Alexandria.

Cell: 5.0183 5.0183 5.0183 Å, 90.00 90.00 90.00°
Last column: nearest neighbours and their distance in Å.
Fractional coordinates of all 5 atoms:
1 Mg 0.0000 0.0000 0.0000  6 Ga 2.51
2 Ga 0.0000 0.0000 0.5000  2 Mg 2.51
3 Ga 0.0000 0.5000 0.0000  2 Mg 2.51
4 Ga 0.5000 0.0000 0.0000  2 Mg 2.51
5 N 0.5000 0.5000 0.5000  12 Ga 3.55

Calculated values
Its energy is -12.63 eV for the cell shown. For the total magnetization, the calculation gives 1.619 μB/f.u. As for the energy above the most stable polymorph in this dataset: 1.207 eV per atom. The uncorrected formation energy is 1527 meV per atom.



No. 2
First-principles (GGA-PBEsol) data for crystalline Mg3GaN at its relaxed geometry, as listed in Alexandria.

Cell: 4.2644 4.2644 4.2644 Å, 90.00 90.00 90.00°
Last column: nearest neighbours and their distance in Å.
Fractional coordinates of all 5 atoms:
1 Mg 0.0000 0.0000 0.5000  2 N 2.13
2 Mg 0.0000 0.5000 0.0000  2 N 2.13
3 Mg 0.5000 0.0000 0.0000  2 N 2.13
4 Ga 0.5000 0.5000 0.5000  12 Mg 3.02
5 N 0.0000 0.0000 0.0000  6 Mg 2.13

Calculated values
Its energy is -19.16 eV for the cell shown. For the total magnetization, the calculation gives 0.000 μB/f.u. The uncorrected formation energy is -429 meV per atom.



No. 3
First-principles (GGA-PBEsol) data for crystalline Mg2GaN at its relaxed geometry, as listed in Alexandria.

Cell: 6.2208 6.2208 6.2208 Å, 90.00 90.00 90.00°
Last column: nearest neighbours and their distance in Å.
Fractional coordinates of all 16 atoms:
1 Mg 0.2500 0.2500 0.2500  4 Ga 2.69, 4 N 2.69
2 Mg 0.2500 0.2500 0.7500  4 Ga 2.69, 4 N 2.69
3 Mg 0.2500 0.7500 0.2500  4 Ga 2.69, 4 N 2.69
4 Mg 0.2500 0.7500 0.7500  4 Ga 2.69, 4 N 2.69
5 Mg 0.7500 0.2500 0.2500  4 Ga 2.69, 4 N 2.69
6 Mg 0.7500 0.2500 0.7500  4 Ga 2.69, 4 N 2.69
7 Mg 0.7500 0.7500 0.2500  4 Ga 2.69, 4 N 2.69
8 Mg 0.7500 0.7500 0.7500  4 Ga 2.69, 4 N 2.69
9 Ga 0.0000 0.0000 0.0000  8 Mg 2.69
10 Ga 0.0000 0.5000 0.5000  8 Mg 2.69
11 Ga 0.5000 0.0000 0.5000  8 Mg 2.69
12 Ga 0.5000 0.5000 0.0000  8 Mg 2.69
13 N 0.0000 0.0000 0.5000  8 Mg 2.69
14 N 0.0000 0.5000 0.0000  8 Mg 2.69
15 N 0.5000 0.0000 0.0000  8 Mg 2.69
16 N 0.5000 0.5000 0.5000  8 Mg 2.69

Calculated values
Its energy is -54.05 eV for the cell shown. For the total magnetization, the calculation gives 0.000 μB/f.u. The uncorrected formation energy is 447 meV per atom.



Please write out number 3 again, unchanged.
First-principles (GGA-PBEsol) data for crystalline Mg2GaN at its relaxed geometry, as listed in Alexandria.

Cell: 6.2208 6.2208 6.2208 Å, 90.00 90.00 90.00°
Last column: nearest neighbours and their distance in Å.
Fractional coordinates of all 16 atoms:
1 Mg 0.2500 0.2500 0.2500  4 Ga 2.69, 4 N 2.69
2 Mg 0.2500 0.2500 0.7500  4 Ga 2.69, 4 N 2.69
3 Mg 0.2500 0.7500 0.2500  4 Ga 2.69, 4 N 2.69
4 Mg 0.2500 0.7500 0.7500  4 Ga 2.69, 4 N 2.69
5 Mg 0.7500 0.2500 0.2500  4 Ga 2.69, 4 N 2.69
6 Mg 0.7500 0.2500 0.7500  4 Ga 2.69, 4 N 2.69
7 Mg 0.7500 0.7500 0.2500  4 Ga 2.69, 4 N 2.69
8 Mg 0.7500 0.7500 0.7500  4 Ga 2.69, 4 N 2.69
9 Ga 0.0000 0.0000 0.0000  8 Mg 2.69
10 Ga 0.0000 0.5000 0.5000  8 Mg 2.69
11 Ga 0.5000 0.0000 0.5000  8 Mg 2.69
12 Ga 0.5000 0.5000 0.0000  8 Mg 2.69
13 N 0.0000 0.0000 0.5000  8 Mg 2.69
14 N 0.0000 0.5000 0.0000  8 Mg 2.69
15 N 0.5000 0.0000 0.0000  8 Mg 2.69
16 N 0.5000 0.5000 0.5000  8 Mg 2.69

Calculated values
Its energy is -54.05 eV for the cell shown. For the total magnetization, the calculation gives 0.000 μB/f.u. The uncorrected formation energy is 447 meV per atom.